Entry from the Alexandria database: a relaxed structure of Rb2NaMnCl5 (GGA-PBE).

a b c (Å): 9.809 9.809 13.617
angles (deg): 90.00 90.00 154.98
Fractional coordinates of all 18 atoms:
Rb 0.124 0.876 0.500
Rb 0.137 0.863 0.140
Rb 0.863 0.137 0.640
Rb 0.876 0.124 0.000
Na 0.215 0.785 0.853
Na 0.785 0.215 0.353
Mn 0.440 0.560 0.257
Mn 0.560 0.440 0.757
Cl 0.044 0.956 0.842
Cl 0.296 0.704 0.481
Cl 0.322 0.678 0.206
Cl 0.356 0.644 0.824
Cl 0.498 0.502 0.107
Cl 0.502 0.498 0.607
Cl 0.644 0.356 0.324
Cl 0.678 0.322 0.706
Cl 0.704 0.296 0.981
Cl 0.956 0.044 0.342

Output
Total magnetization   10.000 μB/cell
Raw total energy   -4.029 eV per atom